An optimized crystal structure of KTiAs2Se. Source: Alexandria via LeMat-Bulk, functional PBE-GGA.

Cell and atoms, written as extended XYZ:
```
5
Lattice="5.2039 0.0000 0.0000 0.0000 5.2039 0.0000 0.0000 0.0000 5.3724" Properties=species:S:1:pos:R:3 pbc="T T T"
As 0.0000 2.6020 0.0000
As 2.6020 0.0000 0.0000
K 0.0000 0.0000 0.0000
Se 0.0000 0.0000 2.6862
Ti 2.6020 2.6020 2.6862
```

total magnetic moment = 0.08 μB/cell
formation energy from raw total energies = 1.507 eV per atom

---

An optimized crystal structure of KTiAsSe2. Source: Alexandria via LeMat-Bulk, functional PBE-GGA.

Cell and atoms, written as extended XYZ:
```
5
Lattice="5.4215 0.0000 0.0000 0.0000 5.4215 0.0000 0.0000 0.0000 5.1728" Properties=species:S:1:pos:R:3 pbc="T T T"
As 0.0000 0.0000 2.5864
K 0.0000 0.0000 0.0000
Se 0.0000 2.7107 0.0000
Se 2.7107 0.0000 0.0000
Ti 2.7107 2.7107 2.5864
```

total magnetic moment = 0.27 μB/cell
formation energy from raw total energies = 1.313 eV per atom

---

An optimized crystal structure of KTiAs2Se. Source: Alexandria via LeMat-Bulk, functional PBE-GGA.

Cell and atoms, written as extended XYZ:
```
5
Lattice="4.9731 0.0000 0.0000 0.0000 4.9731 0.0000 0.0000 0.0000 5.1272" Properties=species:S:1:pos:R:3 pbc="T T T"
As 0.0000 2.4865 0.0000
As 2.4865 0.0000 0.0000
K 2.4865 2.4865 2.5636
Se 0.0000 0.0000 2.5636
Ti 0.0000 0.0000 0.0000
```

total magnetic moment = 0.00 μB/cell
formation energy from raw total energies = -0.454 eV per atom